[1]
! CoMo3Br PBE-GGA relaxed; values from VASP
! E_form (uncorrected) = 1.965 eV/atom
! E above lowest polymorph = 0.466 eV/atom
&SYSTEM
  ibrav = 0, nat = 5, ntyp = 3
/
ATOMIC_SPECIES
Mo 95.94 Mo.upf
Co 58.93 Co.upf
Br 79.90 Br.upf
ATOMIC_POSITIONS crystal
Mo 0.000 0.500 0.000
Mo 0.000 0.000 0.500
Mo 0.500 0.000 0.000
Co 0.500 0.500 0.500
Br 0.000 0.000 0.000
CELL_PARAMETERS angstrom
4.550 0.000 0.000
0.000 4.550 0.000
0.000 0.000 4.550


[2]
! CoMoBr2 PBE-GGA relaxed; values from VASP
! E_form (uncorrected) = 1.183 eV/atom
! E above lowest polymorph = 1.111 eV/atom
&SYSTEM
  ibrav = 0, nat = 4, ntyp = 3
/
ATOMIC_SPECIES
Br 79.90 Br.upf
Co 58.93 Co.upf
Mo 95.94 Mo.upf
ATOMIC_POSITIONS crystal
Br 0.000 0.000 0.000
Br 0.250 0.250 0.250
Co 0.500 0.500 0.500
Mo 0.750 0.750 0.750
CELL_PARAMETERS angstrom
4.781 0.000 0.000
2.390 4.140 0.000
2.390 1.380 3.903


[3]
! CoMo2Br PBE-GGA relaxed; values from VASP
! E_form (uncorrected) = 0.713 eV/atom
! E above lowest polymorph = 0.272 eV/atom
&SYSTEM
  ibrav = 0, nat = 4, ntyp = 3
/
ATOMIC_SPECIES
Br 79.90 Br.upf
Co 58.93 Co.upf
Mo 95.94 Mo.upf
ATOMIC_POSITIONS crystal
Br 0.491 0.491 0.000
Co 0.262 0.762 0.500
Mo 0.018 0.018 0.000
Mo 0.730 0.230 0.500
CELL_PARAMETERS angstrom
5.247 -0.002 -0.001
2.482 4.623 0.001
-3.288 -3.275 2.449


[4]
! CoMo2Br PBE-GGA relaxed; values from VASP
! E_form (uncorrected) = 0.990 eV/atom
! E above lowest polymorph = 0.549 eV/atom
&SYSTEM
  ibrav = 0, nat = 4, ntyp = 3
/
ATOMIC_SPECIES
Br 79.90 Br.upf
Co 58.93 Co.upf
Mo 95.94 Mo.upf
ATOMIC_POSITIONS crystal
Br 0.500 0.500 0.500
Co 0.750 0.750 0.750
Mo 0.000 0.000 0.000
Mo 0.250 0.250 0.250
CELL_PARAMETERS angstrom
4.453 0.000 0.000
2.226 3.856 0.000
2.226 1.285 3.636


[5]
! CoMo2Br PBE-GGA relaxed; values from VASP
! E_form (uncorrected) = 0.951 eV/atom
! E above lowest polymorph = 0.510 eV/atom
&SYSTEM
  ibrav = 0, nat = 4, ntyp = 3
/
ATOMIC_SPECIES
Br 79.90 Br.upf
Co 58.93 Co.upf
Mo 95.94 Mo.upf
ATOMIC_POSITIONS crystal
Br 0.250 0.750 0.500
Co 0.750 0.250 0.500
Mo 0.000 0.000 0.000
Mo 0.500 0.500 0.000
CELL_PARAMETERS angstrom
-1.858 -4.579 1.509
3.088 -4.136 -0.242
0.212 4.831 1.821


[6]
! CoMoBr3 PBE-GGA relaxed; values from VASP
! E_form (uncorrected) = 0.690 eV/atom
&SYSTEM
  ibrav = 0, nat = 5, ntyp = 3
/
ATOMIC_SPECIES
Mo 95.94 Mo.upf
Co 58.93 Co.upf
Br 79.90 Br.upf
ATOMIC_POSITIONS crystal
Mo 0.500 0.500 0.500
Co 0.000 0.000 0.000
Br 0.000 0.500 0.000
Br 0.000 0.000 0.500
Br 0.500 0.000 0.000
CELL_PARAMETERS angstrom
-1.426 4.650 -0.631
-2.434 -0.169 4.255
4.012 1.550 2.357


[7]
! CoMo2Br PBE-GGA relaxed; values from VASP
! E_form (uncorrected) = 1.133 eV/atom
! E above lowest polymorph = 0.692 eV/atom
&SYSTEM
  ibrav = 0, nat = 8, ntyp = 3
/
ATOMIC_SPECIES
Mo 95.94 Mo.upf
Co 58.93 Co.upf
Br 79.90 Br.upf
ATOMIC_POSITIONS crystal
Mo 0.580 0.125 0.250
Mo 0.170 0.625 0.250
Mo 0.375 0.420 0.750
Mo 0.875 0.830 0.750
Co 0.500 0.500 0.000
Co 0.250 0.750 0.500
Br 0.000 0.000 0.000
Br 0.750 0.250 0.500
CELL_PARAMETERS angstrom
-3.593 3.352 -2.434
-3.120 -0.070 4.508
-0.620 5.998 2.999


[8]
! CoMo2Br PBE-GGA relaxed; values from VASP
! E_form (uncorrected) = 0.866 eV/atom
! E above lowest polymorph = 0.425 eV/atom
&SYSTEM
  ibrav = 0, nat = 4, ntyp = 3
/
ATOMIC_SPECIES
Br 79.90 Br.upf
Co 58.93 Co.upf
Mo 95.94 Mo.upf
ATOMIC_POSITIONS crystal
Br 0.500 0.500 0.000
Co 0.500 0.000 0.500
Mo 0.000 0.000 0.000
Mo 0.000 0.500 0.500
CELL_PARAMETERS angstrom
4.944 0.001 -0.005
-2.333 4.646 0.012
0.458 1.078 2.665


[9]
! CoMo2Br PBE-GGA relaxed; values from VASP
! E_form (uncorrected) = 0.730 eV/atom
! E above lowest polymorph = 0.289 eV/atom
&SYSTEM
  ibrav = 0, nat = 4, ntyp = 3
/
ATOMIC_SPECIES
Br 79.90 Br.upf
Co 58.93 Co.upf
Mo 95.94 Mo.upf
ATOMIC_POSITIONS crystal
Br 0.750 0.750 0.750
Co 0.250 0.250 0.250
Mo 0.986 0.986 0.047
Mo 0.514 0.514 0.453
CELL_PARAMETERS angstrom
-1.519 -1.644 -4.174
-0.100 -3.923 -2.652
-4.170 -1.611 1.476


[10]
! CoMo2Br PBE-GGA relaxed; values from VASP
! E_form (uncorrected) = 0.558 eV/atom
! E above lowest polymorph = 0.117 eV/atom
&SYSTEM
  ibrav = 0, nat = 4, ntyp = 3
/
ATOMIC_SPECIES
Br 79.90 Br.upf
Co 58.93 Co.upf
Mo 95.94 Mo.upf
ATOMIC_POSITIONS crystal
Br 0.498 0.498 0.498
Co 0.257 0.257 0.257
Mo 0.995 0.995 0.995
Mo 0.751 0.751 0.751
CELL_PARAMETERS angstrom
8.660 0.000 0.000
8.152 2.920 0.000
8.152 1.416 2.554


[11]
! CoMo2Br PBE-GGA relaxed; values from VASP
! E_form (uncorrected) = 0.522 eV/atom
! E above lowest polymorph = 0.081 eV/atom
&SYSTEM
  ibrav = 0, nat = 4, ntyp = 3
/
ATOMIC_SPECIES
Br 79.90 Br.upf
Co 58.93 Co.upf
Mo 95.94 Mo.upf
ATOMIC_POSITIONS crystal
Br 0.000 0.000 0.514
Co 0.500 0.500 0.793
Mo 0.000 0.000 0.976
Mo 0.500 0.500 0.217
CELL_PARAMETERS angstrom
-3.146 -0.230 -0.083
0.159 -1.112 -2.949
0.379 -6.013 2.287


[12]
! CoMo2Br PBE-GGA relaxed; values from VASP
! E_form (uncorrected) = 1.026 eV/atom
! E above lowest polymorph = 0.585 eV/atom
&SYSTEM
  ibrav = 0, nat = 4, ntyp = 3
/
ATOMIC_SPECIES
Br 79.90 Br.upf
Co 58.93 Co.upf
Mo 95.94 Mo.upf
ATOMIC_POSITIONS crystal
Br 0.500 0.500 0.000
Co 0.750 0.250 0.500
Mo 0.000 0.000 0.000
Mo 0.250 0.750 0.500
CELL_PARAMETERS angstrom
-2.068 -3.726 -2.539
-2.953 -2.890 2.744
0.397 4.893 -0.708


[13]
! CoMoBr2 PBE-GGA relaxed; values from VASP
! E_form (uncorrected) = 0.260 eV/atom
! E above lowest polymorph = 0.188 eV/atom
&SYSTEM
  ibrav = 0, nat = 4, ntyp = 3
/
ATOMIC_SPECIES
Br 79.90 Br.upf
Co 58.93 Co.upf
Mo 95.94 Mo.upf
ATOMIC_POSITIONS crystal
Br 0.000 0.967 0.879
Br 0.500 0.319 0.372
Co 0.000 0.431 0.616
Mo 0.500 0.782 0.634
CELL_PARAMETERS angstrom
3.468 0.000 0.000
0.000 4.111 -0.017
0.000 1.539 6.907


[14]
! Co2MoBr PBE-GGA relaxed; values from VASP
! E_form (uncorrected) = 0.993 eV/atom
! E above lowest polymorph = 0.534 eV/atom
&SYSTEM
  ibrav = 0, nat = 4, ntyp = 3
/
ATOMIC_SPECIES
Br 79.90 Br.upf
Co 58.93 Co.upf
Mo 95.94 Mo.upf
ATOMIC_POSITIONS crystal
Br 0.750 0.250 0.500
Co 0.000 0.000 0.000
Co 0.500 0.500 0.000
Mo 0.250 0.750 0.500
CELL_PARAMETERS angstrom
-3.897 2.269 0.976
-1.830 -1.976 3.746
4.267 1.579 -0.765


[15]
! Co2MoBr PBE-GGA relaxed; values from VASP
! E_form (uncorrected) = 0.545 eV/atom
! E above lowest polymorph = 0.085 eV/atom
&SYSTEM
  ibrav = 0, nat = 4, ntyp = 3
/
ATOMIC_SPECIES
Br 79.90 Br.upf
Co 58.93 Co.upf
Mo 95.94 Mo.upf
ATOMIC_POSITIONS crystal
Br 0.102 0.102 0.268
Co 0.081 0.081 0.906
Co 0.796 0.796 0.745
Mo 0.520 0.520 0.581
CELL_PARAMETERS angstrom
-2.356 2.937 -0.884
-2.816 1.778 1.968
4.020 4.656 2.541


[16]
! CoMoBr PBE-GGA relaxed; values from VASP
! E_form (uncorrected) = 0.558 eV/atom
! E above lowest polymorph = 0.000 eV/atom
&SYSTEM
  ibrav = 0, nat = 3, ntyp = 3
/
ATOMIC_SPECIES
Br 79.90 Br.upf
Co 58.93 Co.upf
Mo 95.94 Mo.upf
ATOMIC_POSITIONS crystal
Br 0.000 0.000 0.990
Co 0.667 0.333 0.357
Mo 0.333 0.667 0.652
CELL_PARAMETERS angstrom
3.029 0.000 0.000
-1.515 2.623 0.000
0.000 0.000 6.137


[17]
! CoMo2Br PBE-GGA relaxed; values from VASP
! E_form (uncorrected) = 0.793 eV/atom
! E above lowest polymorph = 0.352 eV/atom
&SYSTEM
  ibrav = 0, nat = 4, ntyp = 3
/
ATOMIC_SPECIES
Mo 95.94 Mo.upf
Co 58.93 Co.upf
Br 79.90 Br.upf
ATOMIC_POSITIONS crystal
Mo 0.250 0.250 0.250
Mo 0.750 0.750 0.750
Co 0.000 0.000 0.000
Br 0.500 0.500 0.500
CELL_PARAMETERS angstrom
0.000 3.081 3.081
3.081 0.000 3.081
3.081 3.081 0.000


[18]
! CoMo2Br PBE-GGA relaxed; values from VASP
! E_form (uncorrected) = 0.723 eV/atom
! E above lowest polymorph = 0.282 eV/atom
&SYSTEM
  ibrav = 0, nat = 4, ntyp = 3
/
ATOMIC_SPECIES
Br 79.90 Br.upf
Co 58.93 Co.upf
Mo 95.94 Mo.upf
ATOMIC_POSITIONS crystal
Br 0.500 0.000 0.500
Co 0.000 0.500 0.500
Mo 0.000 0.000 0.000
Mo 0.500 0.500 0.000
CELL_PARAMETERS angstrom
-2.223 3.240 2.245
1.024 -2.014 3.921
2.405 1.538 0.162


[19]
! CoMoBr PBE-GGA relaxed; values from VASP
! E_form (uncorrected) = 0.887 eV/atom
! E above lowest polymorph = 0.329 eV/atom
&SYSTEM
  ibrav = 0, nat = 3, ntyp = 3
/
ATOMIC_SPECIES
Br 79.90 Br.upf
Co 58.93 Co.upf
Mo 95.94 Mo.upf
ATOMIC_POSITIONS crystal
Br 0.000 0.000 0.833
Co 0.667 0.333 0.333
Mo 0.333 0.667 0.834
CELL_PARAMETERS angstrom
-2.512 1.721 -3.044
-1.718 -2.522 3.037
-0.446 2.339 1.690


[20]
! Co2MoBr PBE-GGA relaxed; values from VASP
! E_form (uncorrected) = 0.841 eV/atom
! E above lowest polymorph = 0.381 eV/atom
&SYSTEM
  ibrav = 0, nat = 4, ntyp = 3
/
ATOMIC_SPECIES
Br 79.90 Br.upf
Co 58.93 Co.upf
Mo 95.94 Mo.upf
ATOMIC_POSITIONS crystal
Br 0.000 0.500 0.500
Co 0.000 0.000 0.000
Co 0.500 0.500 0.000
Mo 0.500 0.000 0.500
CELL_PARAMETERS angstrom
-0.854 -0.509 -2.722
-2.566 -3.397 1.440
-3.290 2.708 0.526


[21]
! CoMoBr2 PBE-GGA relaxed; values from VASP
! E_form (uncorrected) = 0.912 eV/atom
! E above lowest polymorph = 0.840 eV/atom
&SYSTEM
  ibrav = 0, nat = 4, ntyp = 3
/
ATOMIC_SPECIES
Mo 95.94 Mo.upf
Co 58.93 Co.upf
Br 79.90 Br.upf
ATOMIC_POSITIONS crystal
Mo 0.500 0.500 0.500
Co 0.000 0.000 0.000
Br 0.250 0.250 0.250
Br 0.750 0.750 0.750
CELL_PARAMETERS angstrom
-0.908 -3.966 -2.017
0.288 -3.867 2.363
-3.771 -2.286 1.081


[22]
! Co2MoBr PBE-GGA relaxed; values from VASP
! E_form (uncorrected) = 0.513 eV/atom
! E above lowest polymorph = 0.053 eV/atom
&SYSTEM
  ibrav = 0, nat = 4, ntyp = 3
/
ATOMIC_SPECIES
Br 79.90 Br.upf
Co 58.93 Co.upf
Mo 95.94 Mo.upf
ATOMIC_POSITIONS crystal
Br 0.500 0.500 0.714
Co 0.000 0.000 0.097
Co 0.500 0.500 0.237
Mo 0.000 0.000 0.453
CELL_PARAMETERS angstrom
-0.330 -2.773 1.243
2.894 0.095 0.980
-2.099 2.902 5.916


[23]
! CoMoSeBr2 PBE-GGA relaxed; values from VASP
! E_form (uncorrected) = 0.724 eV/atom
! E above lowest polymorph = 0.000 eV/atom
&SYSTEM
  ibrav = 0, nat = 5, ntyp = 4
/
ATOMIC_SPECIES
Mo 95.94 Mo.upf
Co 58.93 Co.upf
Se 78.96 Se.upf
Br 79.90 Br.upf
ATOMIC_POSITIONS crystal
Mo 0.500 0.500 0.500
Co 0.000 0.000 0.000
Se 0.000 0.000 0.500
Br 0.000 0.500 0.000
Br 0.500 0.000 0.000
CELL_PARAMETERS angstrom
4.859 0.000 0.000
0.000 4.859 0.000
0.000 0.000 4.805


[24]
! CoMoSeBr2 PBE-GGA relaxed; values from VASP
! E_form (uncorrected) = 1.142 eV/atom
! E above lowest polymorph = 0.418 eV/atom
&SYSTEM
  ibrav = 0, nat = 5, ntyp = 4
/
ATOMIC_SPECIES
Mo 95.94 Mo.upf
Co 58.93 Co.upf
Se 78.96 Se.upf
Br 79.90 Br.upf
ATOMIC_POSITIONS crystal
Mo 0.500 0.500 0.500
Co 0.000 0.500 0.000
Se 0.000 0.000 0.000
Br 0.000 0.000 0.500
Br 0.500 0.000 0.000
CELL_PARAMETERS angstrom
-1.931 1.889 5.077
3.380 -1.847 1.973
3.028 4.845 -0.652


[25]
! CoMoSe2Br PBE-GGA relaxed; values from VASP
! E_form (uncorrected) = 0.733 eV/atom
! E above lowest polymorph = 0.000 eV/atom
&SYSTEM
  ibrav = 0, nat = 5, ntyp = 4
/
ATOMIC_SPECIES
Mo 95.94 Mo.upf
Co 58.93 Co.upf
Se 78.96 Se.upf
Br 79.90 Br.upf
ATOMIC_POSITIONS crystal
Mo 0.500 0.500 0.500
Co 0.000 0.000 0.000
Se 0.000 0.500 0.000
Se 0.500 0.000 0.000
Br 0.000 0.000 0.500
CELL_PARAMETERS angstrom
4.693 0.000 0.000
0.000 4.693 0.000
0.000 0.000 4.824


[26]
! CoSn2MoBr PBE-GGA relaxed; values from VASP
! E_form (uncorrected) = 1.006 eV/atom
&SYSTEM
  ibrav = 0, nat = 5, ntyp = 4
/
ATOMIC_SPECIES
Mo 95.94 Mo.upf
Co 58.93 Co.upf
Sn 118.71 Sn.upf
Br 79.90 Br.upf
ATOMIC_POSITIONS crystal
Mo 0.000 0.000 0.000
Co 0.500 0.500 0.500
Sn 0.000 0.000 0.500
Sn 0.500 0.000 0.000
Br 0.000 0.500 0.000
CELL_PARAMETERS angstrom
5.375 0.000 0.000
0.000 4.845 0.000
0.000 0.000 5.375


[27]
! CoTc2MoBr PBE-GGA relaxed; values from VASP
! E_form (uncorrected) = 1.864 eV/atom
&SYSTEM
  ibrav = 0, nat = 5, ntyp = 4
/
ATOMIC_SPECIES
Mo 95.94 Mo.upf
Co 58.93 Co.upf
Tc 98.00 Tc.upf
Br 79.90 Br.upf
ATOMIC_POSITIONS crystal
Mo 0.000 0.500 0.000
Co 0.500 0.500 0.500
Tc 0.000 0.000 0.500
Tc 0.500 0.000 0.000
Br 0.000 0.000 0.000
CELL_PARAMETERS angstrom
4.498 0.000 0.000
0.000 4.569 0.000
0.000 0.000 4.498


[28]
! Zn2CoMoBr PBE-GGA relaxed; values from VASP
! E_form (uncorrected) = 0.571 eV/atom
&SYSTEM
  ibrav = 0, nat = 5, ntyp = 4
/
ATOMIC_SPECIES
Mo 95.94 Mo.upf
Co 58.93 Co.upf
Zn 65.41 Zn.upf
Br 79.90 Br.upf
ATOMIC_POSITIONS crystal
Mo 0.000 0.500 0.000
Co 0.000 0.000 0.000
Zn 0.000 0.000 0.500
Zn 0.500 0.000 0.000
Br 0.500 0.500 0.500
CELL_PARAMETERS angstrom
-0.607 -1.753 4.282
-0.703 -4.063 -1.763
4.568 -0.909 0.276


[29]
! CoBrN PBE-GGA relaxed; values from VASP
! E_form (uncorrected) = 0.424 eV/atom
! E above lowest polymorph = 0.070 eV/atom
&SYSTEM
  ibrav = 0, nat = 3, ntyp = 3
/
ATOMIC_SPECIES
Co 58.93 Co.upf
Br 79.90 Br.upf
N 14.01 N.upf
ATOMIC_POSITIONS crystal
Co 0.333 0.500 0.933
Br 0.219 0.000 0.666
N 0.885 0.500 0.056
CELL_PARAMETERS angstrom
3.164 0.000 0.000
0.000 3.751 0.000
-1.344 0.000 5.246


[30]
! CoBrN3 PBE-GGA relaxed; values from VASP
! E_form (uncorrected) = 1.939 eV/atom
&SYSTEM
  ibrav = 0, nat = 5, ntyp = 3
/
ATOMIC_SPECIES
Co 58.93 Co.upf
Br 79.90 Br.upf
N 14.01 N.upf
ATOMIC_POSITIONS crystal
Co 0.000 0.000 0.000
Br 0.500 0.500 0.500
N 0.000 0.500 0.000
N 0.000 0.000 0.500
N 0.500 0.000 0.000
CELL_PARAMETERS angstrom
-0.126 -3.695 -0.533
-0.130 -0.529 3.696
-3.731 0.143 -0.111


Number 1: V 94.17 Å³ per cell, E_tot -31.4 eV per cell. Number 2: V 77.26 Å³ per cell, E_tot -16.6 eV per cell. Number 3: V 59.43 Å³ per cell, E_tot -27.6 eV per cell. Number 4: V 62.44 Å³ per cell, E_tot -26.5 eV per cell. Number 5: V 61.65 Å³ per cell, E_tot -26.6 eV per cell. Number 6: V 117.98 Å³ per cell, E_tot -19.5 eV per cell. Number 7: V 165.54 Å³ per cell, E_tot -51.8 eV per cell. Number 8: V 61.19 Å³ per cell, E_tot -27.0 eV per cell. Number 9: V 64.48 Å³ per cell, E_tot -27.5 eV per cell. Number 10: V 64.57 Å³ per cell, E_tot -28.2 eV per cell. Number 11: V 64.17 Å³ per cell, E_tot -28.4 eV per cell. Number 12: V 61.04 Å³ per cell, E_tot -26.3 eV per cell. Number 13: V 98.56 Å³ per cell, E_tot -20.2 eV per cell. Number 14: V 55.65 Å³ per cell, E_tot -22.7 eV per cell. Number 15: V 73.08 Å³ per cell, E_tot -24.5 eV per cell. Number 16: V 48.77 Å³ per cell, E_tot -17.9 eV per cell. Number 17: V 58.48 Å³ per cell, E_tot -27.3 eV per cell. Number 18: V 58.55 Å³ per cell, E_tot -27.5 eV per cell. Number 19: V 46.87 Å³ per cell, E_tot -16.9 eV per cell. Number 20: V 55.93 Å³ per cell, E_tot -23.4 eV per cell. Number 21: V 66.19 Å³ per cell, E_tot -17.6 eV per cell. Number 22: V 64.62 Å³ per cell, E_tot -24.7 eV per cell. Number 23: V 113.43 Å³ per cell, E_tot -21.1 eV per cell. Number 24: V 143.12 Å³ per cell, E_tot -19.1 eV per cell. Number 25: V 106.27 Å³ per cell, E_tot -22.9 eV per cell. Number 26: V 140.00 Å³ per cell, E_tot -22.6 eV per cell. Number 27: V 92.43 Å³ per cell, E_tot -31.0 eV per cell. Number 28: V 97.63 Å³ per cell, E_tot -19.3 eV per cell. Number 29: V 62.25 Å³ per cell, E_tot -15.8 eV per cell. Number 30: V 52.13 Å³ per cell, E_tot -24.1 eV per cell.